## Nd6Co2TeCl3 (PBE)

Data for an optimized crystal structure of Nd6Co2TeCl3.

Cell: 4.112 8.909 9.496 Å, 104.06 102.50 90.00°
Fractional coordinates of all 12 atoms:
Cl (0.500, 0.500, 0.000)
Cl (0.159, 0.839, 0.319)
Cl (0.841, 0.161, 0.681)
Nd (0.321, 0.433, 0.643)
Nd (0.679, 0.567, 0.357)
Nd (0.027, 0.277, 0.053)
Nd (0.676, 0.141, 0.352)
Nd (0.324, 0.859, 0.648)
Nd (0.973, 0.723, 0.947)
Te (0.500, 0.000, 0.000)
Co (0.171, 0.344, 0.342)
Co (0.829, 0.656, 0.658)

Total magnetization (μB per formula unit): 0.000
E_form (uncorrected) (eV per atom): -1.007